The following is a DFT calculation (PBE-GGA) of a relaxed PmNiIrPb crystal.

Formation enthalpy at 0 K in kJ per mole of atoms: -16

Geometry as POSCAR:
```
PmNiIrPb
1.0
0.000 3.408 3.408
3.408 0.000 3.408
3.408 3.408 0.000
Pm Ni Ir Pb
1 1 1 1
Direct
0.000 0.000 0.000
0.250 0.250 0.250
0.750 0.750 0.750
0.500 0.500 0.500
```



The following is a DFT calculation (PBE-GGA) of a relaxed NiIr2RuPb crystal.

Formation enthalpy at 0 K in kJ per mole of atoms: 225

Geometry as POSCAR:
```
NiIr2RuPb
1.0
4.910 0.000 0.000
0.000 4.910 0.000
0.000 0.000 4.566
Ni Ir Ru Pb
1 2 1 1
Direct
0.000 0.000 0.000
0.000 0.500 0.500
0.500 0.000 0.500
0.500 0.500 0.000
0.000 0.000 0.500
```



The following is a DFT calculation (PBE-GGA) of a relaxed Sr2NiIrPb crystal.

Formation enthalpy at 0 K in kJ per mole of atoms: 15

Geometry as POSCAR:
```
Sr2NiIrPb
1.0
5.864 0.000 0.000
0.000 5.864 0.000
0.000 0.000 4.559
Sr Ni Ir Pb
2 1 1 1
Direct
0.000 0.500 0.000
0.500 0.000 0.000
0.000 0.000 0.500
0.000 0.000 0.000
0.500 0.500 0.500
```



The following is a DFT calculation (PBE-GGA) of a relaxed YNiIrPb2 crystal.

Formation enthalpy at 0 K in kJ per mole of atoms: 151

Geometry as POSCAR:
```
YNiIrPb2
1.0
5.734 0.000 0.000
0.000 5.734 0.000
0.000 0.000 4.550
Y Ni Ir Pb
1 1 1 2
Direct
0.000 0.000 0.000
0.000 0.000 0.500
0.500 0.500 0.500
0.000 0.500 0.000
0.500 0.000 0.000
```



The following is a DFT calculation (PBE-GGA) of a relaxed ZnNi2IrPb crystal.

Formation enthalpy at 0 K in kJ per mole of atoms: 92

Geometry as POSCAR:
```
ZnNi2IrPb
1.0
4.688 0.000 0.000
0.000 4.688 0.000
0.000 0.000 5.148
Zn Ni Ir Pb
1 2 1 1
Direct
0.000 0.000 0.000
0.000 0.500 0.500
0.500 0.000 0.500
0.500 0.500 0.500
0.500 0.500 0.000
```



The following is a DFT calculation (PBE-GGA) of a relaxed Ni2IrPd crystal.

Formation enthalpy at 0 K in kJ per mole of atoms: 16
E above lowest polymorph in meV per atom: 129.7

Geometry as POSCAR:
```
Ni2IrPd
1.0
0.000 2.967 2.967
2.967 0.000 2.967
2.967 2.967 0.000
Ni Ir Pd
2 1 1
Direct
0.250 0.250 0.250
0.750 0.750 0.750
0.000 0.000 0.000
0.500 0.500 0.500
```



The following is a DFT calculation (PBE-GGA) of a relaxed Ni2IrPd crystal.

Formation enthalpy at 0 K in kJ per mole of atoms: 52
E above lowest polymorph in meV per atom: 500.9

Geometry as POSCAR:
```
Ni2IrPd
1.0
-3.307 3.307 2.629
3.307 -3.307 2.629
3.307 3.307 -2.629
Ni Ir Pd
4 2 2
Direct
0.113 0.625 0.988
0.375 0.363 0.488
0.637 0.125 0.012
0.875 0.887 0.512
0.000 0.000 0.000
0.750 0.250 0.500
0.250 0.750 0.500
0.500 0.500 0.000
```



The following is a DFT calculation (PBE-GGA) of a relaxed Ni2IrPd crystal.

Formation enthalpy at 0 K in kJ per mole of atoms: 11
E above lowest polymorph in meV per atom: 75.4

Geometry as POSCAR:
```
Ni2IrPd
1.0
3.812 0.000 0.000
0.000 3.812 0.000
0.000 0.000 3.566
Ni Ir Pd
2 1 1
Direct
0.000 0.500 0.000
0.500 0.000 0.000
0.000 0.000 0.500
0.500 0.500 0.500
```



The following is a DFT calculation (PBE-GGA) of a relaxed NiIr2Pd crystal.

Formation enthalpy at 0 K in kJ per mole of atoms: 6
E above lowest polymorph in meV per atom: 0.0

Geometry as POSCAR:
```
NiIr2Pd
1.0
1.362 0.786 8.657
-1.362 0.786 8.657
0.000 -1.573 8.657
Ni Ir Pd
1 2 1
Direct
0.000 0.000 0.000
0.255 0.255 0.255
0.745 0.745 0.745
0.500 0.500 0.500
```



The following is a DFT calculation (PBE-GGA) of a relaxed NiIrPd2 crystal.

Formation enthalpy at 0 K in kJ per mole of atoms: 14
E above lowest polymorph in meV per atom: 13.3

Geometry as POSCAR:
```
NiIrPd2
1.0
3.814 0.000 0.000
0.000 3.814 0.000
0.000 0.000 3.875
Ni Ir Pd
1 1 2
Direct
0.000 0.000 0.000
0.500 0.500 0.000
0.000 0.500 0.500
0.500 0.000 0.500
```



The following is a DFT calculation (PBE-GGA) of a relaxed NiIrPd2 crystal.

Formation enthalpy at 0 K in kJ per mole of atoms: 30
E above lowest polymorph in meV per atom: 173.7

Geometry as POSCAR:
```
NiIrPd2
1.0
0.000 3.067 3.067
3.067 0.000 3.067
3.067 3.067 0.000
Ni Ir Pd
1 1 2
Direct
0.000 0.000 0.000
0.500 0.500 0.500
0.250 0.250 0.250
0.750 0.750 0.750
```



The following is a DFT calculation (PBE-GGA) of a relaxed NiIr2Pd2 crystal.

Formation enthalpy at 0 K in kJ per mole of atoms: 63
E above lowest polymorph in meV per atom: 234.5

Geometry as POSCAR:
```
NiIr2Pd2
1.0
-1.789 1.789 6.292
1.789 -1.789 6.292
1.789 1.789 -6.292
Ni Ir Pd
1 2 2
Direct
0.000 0.000 0.000
0.407 0.407 0.000
0.593 0.593 0.000
0.250 0.750 0.500
0.750 0.250 0.500
```



Repeat the tenth record exactly.
The following is a DFT calculation (PBE-GGA) of a relaxed NiIrPd2 crystal.

Formation enthalpy at 0 K in kJ per mole of atoms: 14
E above lowest polymorph in meV per atom: 13.3

Geometry as POSCAR:
```
NiIrPd2
1.0
3.814 0.000 0.000
0.000 3.814 0.000
0.000 0.000 3.875
Ni Ir Pd
1 1 2
Direct
0.000 0.000 0.000
0.500 0.500 0.000
0.000 0.500 0.500
0.500 0.000 0.500
```



- formation enthalpy at 0 K of number 7 (Ni2IrPd)?
  52 kJ per mole of atoms